The following is a PBE calculation of an optimized crystal structure of Tb3NdTm5, from Alexandria.

Properties
As for the total energy: -0.1522 hartree per atom. The calculation puts the density at 7.97 Mg/m³. The volume comes out at 610.88 Å³/cell. The symmetry is No. 12. The value obtained for the formation energy is 0.42 eV/atom.

Lattice parameters (Å, degrees): 9.242 9.242 12.177 126.06 126.06 50.73
Atoms (fractional coordinates):
Tb  0.000  0.000  0.000
Tb  0.119  0.119  0.812
Tb  0.325  0.325  0.157
Tb  0.500  0.500  0.500
Tb  0.675  0.675  0.843
Tb  0.881  0.881  0.188
Nd  0.263  0.263  0.370
Nd  0.737  0.737  0.630
Tm  0.179  0.821  0.500
Tm  0.201  0.201  0.572
Tm  0.230  0.640  0.719
Tm  0.360  0.770  0.281
Tm  0.378  0.378  0.935
Tm  0.622  0.622  0.065
Tm  0.640  0.230  0.719
Tm  0.770  0.360  0.281
Tm  0.799  0.799  0.428
Tm  0.821  0.179  0.500